The following is a DFT calculation (PBE) of a geometry-optimized RbAgHg3 structure.

Output
calculated volume: 295 Å³/f.u.
relative energy among the computed polymorphs: 523.8 meV/atom
symmetry: No. 221
crystal system: cubic
E_form: 0.408 eV/atom

Structure (POSCAR):
```
RbAgHg3
1.0
6.6576 0.0000 0.0000
0.0000 6.6576 0.0000
0.0000 0.0000 6.6576
Rb Ag Hg
1 1 3
direct
0.0000 0.0000 0.0000
0.5000 0.5000 0.5000
0.0000 0.0000 0.5000
0.0000 0.5000 0.0000
0.5000 0.0000 0.0000
```